1.
The following is a GGA-PBE calculation of a geometry-optimized CsNaPdO2 structure, from Alexandria.

Unit cell a=7.0518 b=7.0518 c=5.5488 alpha=90.00 beta=90.00 gamma=132.66
Fractional coordinates of all 10 atoms:
Cs 0.2500 0.7500 0.7512
Cs 0.7500 0.2500 0.2488
Na 0.2500 0.2500 0.0000
Na 0.7500 0.7500 0.0000
Pd 0.0000 0.0000 0.5000
Pd 0.5000 0.5000 0.5000
O 0.0994 0.9006 0.2394
O 0.4006 0.5994 0.2394
O 0.5994 0.4006 0.7606
O 0.9006 0.0994 0.7606

DOS at the Fermi energy = 1.03 states/eV per atom
Space-group type = No. 67
ΔE_f (raw) = -0.85 eV per atom

2.
The following is a GGA-PBE calculation of a geometry-optimized CsNaPtO3 structure, from Alexandria.

Unit cell a=6.3448 b=6.3448 c=6.1227 alpha=90.00 beta=90.00 gamma=123.46
Fractional coordinates of all 12 atoms:
Cs 0.2194 0.7806 0.7500
Cs 0.7806 0.2194 0.2500
Na 0.0886 0.9114 0.2500
Na 0.9114 0.0886 0.7500
Pt 0.4773 0.5227 0.2500
Pt 0.5227 0.4773 0.7500
O 0.2787 0.2787 0.0000
O 0.2787 0.2787 0.5000
O 0.2977 0.7023 0.2500
O 0.7023 0.2977 0.7500
O 0.7213 0.7213 0.0000
O 0.7213 0.7213 0.5000

DOS at the Fermi energy = 0.33 states/eV per atom
Space-group type = No. 63
ΔE_f (raw) = -0.88 eV per atom

3.
The following is a GGA-PBE calculation of a geometry-optimized CsNa2PtO4 structure, from Alexandria.

Unit cell a=6.0841 b=6.0841 c=6.0841 alpha=122.98 beta=122.98 gamma=84.92
Fractional coordinates of all 8 atoms:
Cs 0.0000 0.0000 0.0000
Na 0.2500 0.7500 0.5000
Na 0.7500 0.2500 0.5000
Pt 0.5000 0.5000 0.0000
O 0.1837 0.1837 0.6720
O 0.4883 0.8163 0.0000
O 0.5117 0.5117 0.3280
O 0.8163 0.4883 0.0000

DOS at the Fermi energy = 0.07 states/eV per atom
Space-group type = No. 121
ΔE_f (raw) = -0.89 eV per atom

4.
The following is a GGA-PBE calculation of a geometry-optimized CsNa2Pu2O7 structure, from Alexandria.

Unit cell a=10.3196 b=10.3196 c=10.3196 alpha=155.66 beta=155.66 gamma=34.68
Fractional coordinates of all 12 atoms:
Cs 0.0000 0.0000 0.0000
Na 0.2500 0.7500 0.5000
Na 0.7500 0.2500 0.5000
Pu 0.3898 0.3898 0.0000
Pu 0.6102 0.6102 0.0000
O 0.1127 0.6127 0.5000
O 0.2896 0.2896 0.0000
O 0.3873 0.8873 0.5000
O 0.5000 0.5000 0.0000
O 0.6127 0.1127 0.5000
O 0.7104 0.7104 0.0000
O 0.8873 0.3873 0.5000

DOS at the Fermi energy = 0.76 states/eV per atom
Space-group type = No. 139
ΔE_f (raw) = -2.32 eV per atom

5.
The following is a GGA-PBE calculation of a geometry-optimized Cs2Na2PuO6 structure, from Alexandria.

Unit cell a=6.0149 b=6.0149 c=7.2313 alpha=101.17 beta=101.17 gamma=115.93
Fractional coordinates of all 11 atoms:
Cs 0.1803 0.8197 0.0000
Cs 0.8197 0.1803 0.0000
Na 0.3395 0.6605 0.5000
Na 0.6605 0.3395 0.5000
Pu 0.0000 0.0000 0.5000
O 0.0462 0.3262 0.6716
O 0.2047 0.2047 0.3446
O 0.3262 0.0462 0.6716
O 0.6738 0.9538 0.3284
O 0.7953 0.7953 0.6554
O 0.9538 0.6738 0.3284

Space-group type = No. 12
ΔE_f (raw) = -1.89 eV per atom

6.
The following is a GGA-PBE calculation of a geometry-optimized Cs3Na2PuO6 structure, from Alexandria.

Unit cell a=6.3800 b=6.3800 c=6.9464 alpha=97.96 beta=97.96 gamma=120.57
Fractional coordinates of all 12 atoms:
Cs 0.0000 0.0000 0.0000
Cs 0.3259 0.6741 0.0000
Cs 0.6741 0.3259 0.0000
Na 0.1676 0.8324 0.5000
Na 0.8324 0.1676 0.5000
Pu 0.5000 0.5000 0.5000
O 0.1763 0.4386 0.3317
O 0.2997 0.2997 0.6870
O 0.4386 0.1763 0.3317
O 0.5614 0.8237 0.6683
O 0.7003 0.7003 0.3130
O 0.8237 0.5614 0.6683

Space-group type = No. 12
ΔE_f (raw) = -1.87 eV per atom

7.
The following is a GGA-PBE calculation of a geometry-optimized CsNa2PuO4 structure, from Alexandria.

Unit cell a=7.8487 b=7.8487 c=7.8487 alpha=129.09 beta=127.34 gamma=76.28
Fractional coordinates of all 16 atoms:
Cs 0.5000 0.0000 0.0000
Cs 0.5000 0.5000 0.5000
Na 0.0000 0.0000 0.0000
Na 0.0000 0.0000 0.5000
Na 0.0000 0.5000 0.0000
Na 0.5000 0.0000 0.5000
Pu 0.0000 0.5000 0.5000
Pu 0.5000 0.5000 0.0000
O 0.1208 0.6597 0.4612
O 0.2609 0.2861 0.5252
O 0.2609 0.7357 0.9748
O 0.3015 0.3403 0.9612
O 0.6985 0.6597 0.0388
O 0.7391 0.2643 0.0252
O 0.7391 0.7139 0.4748
O 0.8792 0.3403 0.5388

DOS at the Fermi energy = 0.62 states/eV per atom
Space-group type = No. 74
ΔE_f (raw) = -1.99 eV per atom

8.
The following is a GGA-PBE calculation of a geometry-optimized Cs4NaPu3O12 structure, from Alexandria.

Unit cell a=7.7057 b=7.7057 c=7.7057 alpha=109.47 beta=109.47 gamma=109.47
Fractional coordinates of all 20 atoms:
Cs 0.0000 0.0000 0.5000
Cs 0.0000 0.5000 0.0000
Cs 0.5000 0.0000 0.0000
Cs 0.5000 0.5000 0.5000
Na 0.0000 0.0000 0.0000
Pu 0.0000 0.5000 0.5000
Pu 0.5000 0.0000 0.5000
Pu 0.5000 0.5000 0.0000
O 0.0000 0.2895 0.2895
O 0.0000 0.7105 0.7105
O 0.2500 0.5000 0.7500
O 0.2500 0.7500 0.5000
O 0.2895 0.0000 0.2895
O 0.2895 0.2895 0.0000
O 0.5000 0.2500 0.7500
O 0.5000 0.7500 0.2500
O 0.7105 0.0000 0.7105
O 0.7105 0.7105 0.0000
O 0.7500 0.2500 0.5000
O 0.7500 0.5000 0.2500

DOS at the Fermi energy = 0.41 states/eV per atom
Space-group type = No. 229
ΔE_f (raw) = -2.29 eV per atom

9.
The following is a GGA-PBE calculation of a geometry-optimized Cs4NaPu3O8 structure, from Alexandria.

Unit cell a=8.0219 b=8.0219 c=8.0219 alpha=53.58 beta=53.58 gamma=53.58
Fractional coordinates of all 16 atoms:
Cs 0.0000 0.0000 0.0000
Cs 0.0000 0.5000 0.5000
Cs 0.5000 0.0000 0.5000
Cs 0.5000 0.5000 0.0000
Na 0.5000 0.5000 0.5000
Pu 0.0000 0.0000 0.5000
Pu 0.0000 0.5000 0.0000
Pu 0.5000 0.0000 0.0000
O 0.1861 0.7373 0.7373
O 0.2243 0.2243 0.2243
O 0.2627 0.2627 0.8139
O 0.2627 0.8139 0.2627
O 0.7373 0.1861 0.7373
O 0.7373 0.7373 0.1861
O 0.7757 0.7757 0.7757
O 0.8139 0.2627 0.2627

DOS at the Fermi energy = 0.93 states/eV per atom
Space-group type = No. 166
ΔE_f (raw) = -2.20 eV per atom

10.
The following is a GGA-PBE calculation of a geometry-optimized Cs2NaPuO6 structure, from Alexandria.

Unit cell a=6.4189 b=6.4189 c=6.4189 alpha=60.00 beta=60.00 gamma=60.00
Fractional coordinates of all 10 atoms:
Cs 0.2500 0.2500 0.2500
Cs 0.7500 0.7500 0.7500
Na 0.0000 0.0000 0.0000
Pu 0.5000 0.5000 0.5000
O 0.2843 0.2843 0.7157
O 0.2843 0.7157 0.2843
O 0.2843 0.7157 0.7157
O 0.7157 0.2843 0.2843
O 0.7157 0.2843 0.7157
O 0.7157 0.7157 0.2843

DOS at the Fermi energy = 1.06 states/eV per atom
Space-group type = No. 225
ΔE_f (raw) = -1.80 eV per atom

11.
The following is a GGA-PBE calculation of a geometry-optimized Cs2NaPu3O12 structure, from Alexandria.

Unit cell a=7.6996 b=7.6996 c=7.6996 alpha=62.80 beta=62.80 gamma=62.80
Fractional coordinates of all 18 atoms:
Cs 0.1181 0.1181 0.1181
Cs 0.8819 0.8819 0.8819
Na 0.5000 0.5000 0.5000
Pu 0.0000 0.5000 0.5000
Pu 0.5000 0.0000 0.5000
Pu 0.5000 0.5000 0.0000
O 0.1348 0.5808 0.5808
O 0.1944 0.1944 0.5768
O 0.1944 0.5768 0.1944
O 0.4192 0.4192 0.8652
O 0.4192 0.8652 0.4192
O 0.4232 0.8056 0.8056
O 0.5768 0.1944 0.1944
O 0.5808 0.1348 0.5808
O 0.5808 0.5808 0.1348
O 0.8056 0.4232 0.8056
O 0.8056 0.8056 0.4232
O 0.8652 0.4192 0.4192

DOS at the Fermi energy = 0.49 states/eV per atom
Space-group type = No. 166
ΔE_f (raw) = -2.28 eV per atom

12.
The following is a GGA-PBE calculation of a geometry-optimized Cs2Na2ReO6 structure, from Alexandria.

Unit cell a=5.9455 b=5.9455 c=7.0977 alpha=100.38 beta=100.38 gamma=116.80
Fractional coordinates of all 11 atoms:
Cs 0.1762 0.8238 0.0000
Cs 0.8238 0.1762 0.0000
Na 0.3410 0.6590 0.5000
Na 0.6590 0.3410 0.5000
Re 0.0000 0.0000 0.5000
O 0.0498 0.3185 0.6668
O 0.1984 0.1984 0.3462
O 0.3185 0.0498 0.6668
O 0.6815 0.9502 0.3332
O 0.8016 0.8016 0.6538
O 0.9502 0.6815 0.3332

DOS at the Fermi energy = 0.87 states/eV per atom
Space-group type = No. 12
ΔE_f (raw) = -1.50 eV per atom

13.
The following is a GGA-PBE calculation of a geometry-optimized Cs2NaReO6 structure, from Alexandria.

Unit cell a=6.6117 b=6.6117 c=5.9662 alpha=90.00 beta=90.00 gamma=120.00
Fractional coordinates of all 10 atoms:
Cs 0.3333 0.6667 0.3066
Cs 0.6667 0.3333 0.6934
Na 0.0000 0.0000 0.0000
Re 0.0000 0.0000 0.5000
O 0.1338 0.2677 0.6856
O 0.1338 0.8662 0.6856
O 0.2677 0.1338 0.3144
O 0.7323 0.8662 0.6856
O 0.8662 0.1338 0.3144
O 0.8662 0.7323 0.3144

DOS at the Fermi energy = 0.74 states/eV per atom
Space-group type = No. 164
ΔE_f (raw) = -1.36 eV per atom

14.
The following is a GGA-PBE calculation of a geometry-optimized CsNaRe2O8 structure, from Alexandria.

Unit cell a=6.1441 b=6.1441 c=8.2836 alpha=90.00 beta=90.00 gamma=120.00
Fractional coordinates of all 12 atoms:
Cs 0.0000 0.0000 0.0000
Na 0.0000 0.0000 0.5000
Re 0.3333 0.6667 0.7472
Re 0.6667 0.3333 0.2528
O 0.1735 0.3542 0.6794
O 0.1807 0.8265 0.6794
O 0.3333 0.6667 0.9588
O 0.3542 0.1807 0.3206
O 0.6458 0.8193 0.6794
O 0.6667 0.3333 0.0412
O 0.8193 0.1735 0.3206
O 0.8265 0.6458 0.3206

DOS at the Fermi energy = 0.00 states/eV per atom
Space-group type = No. 147
ΔE_f (raw) = -1.86 eV per atom

15.
The following is a GGA-PBE calculation of a geometry-optimized Cs2Na3RhO6 structure, from Alexandria.

Unit cell a=7.1803 b=7.1803 c=5.7236 alpha=100.18 beta=100.18 gamma=125.86
Fractional coordinates of all 12 atoms:
Cs 0.1746 0.8254 0.0000
Cs 0.8254 0.1746 0.0000
Na 0.0000 0.0000 0.5000
Na 0.3875 0.6125 0.5000
Na 0.6125 0.3875 0.5000
Rh 0.5000 0.5000 0.0000
O 0.2049 0.4207 0.7654
O 0.3033 0.3033 0.1839
O 0.4207 0.2049 0.7654
O 0.5793 0.7951 0.2346
O 0.6967 0.6967 0.8161
O 0.7951 0.5793 0.2346

DOS at the Fermi energy = 0.91 states/eV per atom
Space-group type = No. 12
ΔE_f (raw) = -1.00 eV per atom

16.
The following is a GGA-PBE calculation of a geometry-optimized CsNaRhO3 structure, from Alexandria.

Unit cell a=6.3002 b=6.3002 c=6.0253 alpha=90.00 beta=90.00 gamma=122.89
Fractional coordinates of all 12 atoms:
Cs 0.2254 0.7746 0.7500
Cs 0.7746 0.2254 0.2500
Na 0.0807 0.9193 0.2500
Na 0.9193 0.0807 0.7500
Rh 0.4690 0.5310 0.2500
Rh 0.5310 0.4690 0.7500
O 0.2813 0.2813 0.0000
O 0.2813 0.2813 0.5000
O 0.2959 0.7041 0.2500
O 0.7041 0.2959 0.7500
O 0.7187 0.7187 0.0000
O 0.7187 0.7187 0.5000

DOS at the Fermi energy = 0.65 states/eV per atom
Space-group type = No. 63
ΔE_f (raw) = -1.03 eV per atom

17.
The following is a GGA-PBE calculation of a geometry-optimized CsNa2RhO4 structure, from Alexandria.

Unit cell a=5.8666 b=5.8666 c=5.8666 alpha=117.81 beta=117.81 gamma=93.83
Fractional coordinates of all 8 atoms:
Cs 0.0000 0.0000 0.0000
Na 0.2500 0.7500 0.5000
Na 0.7500 0.2500 0.5000
Rh 0.5000 0.5000 0.0000
O 0.1861 0.1861 0.6468
O 0.4608 0.8139 0.0000
O 0.5392 0.5392 0.3532
O 0.8139 0.4608 0.0000

Space-group type = No. 121
ΔE_f (raw) = -1.08 eV per atom

18.
The following is a GGA-PBE calculation of a geometry-optimized Cs2NaRuO6 structure, from Alexandria.

Unit cell a=6.4965 b=6.4965 c=5.8753 alpha=90.00 beta=90.00 gamma=120.00
Fractional coordinates of all 10 atoms:
Cs 0.3333 0.6667 0.1900
Cs 0.6667 0.3333 0.8100
Na 0.0000 0.0000 0.5000
Ru 0.0000 0.0000 0.0000
O 0.1356 0.2712 0.8137
O 0.1356 0.8644 0.8137
O 0.2712 0.1356 0.1863
O 0.7288 0.8644 0.8137
O 0.8644 0.1356 0.1863
O 0.8644 0.7288 0.1863

DOS at the Fermi energy = 0.82 states/eV per atom
Space-group type = No. 164
ΔE_f (raw) = -0.94 eV per atom

19.
The following is a GGA-PBE calculation of a geometry-optimized CsNaRuO4 structure, from Alexandria.

Unit cell a=6.1758 b=6.3515 c=7.8504 alpha=90.00 beta=106.19 gamma=90.00
Fractional coordinates of all 14 atoms:
Cs 0.2246 0.2500 0.4421
Cs 0.7754 0.7500 0.5579
Na 0.3198 0.2500 0.9757
Na 0.6802 0.7500 0.0243
Ru 0.2342 0.7500 0.1545
Ru 0.7658 0.2500 0.8455
O 0.0396 0.7500 0.9393
O 0.0883 0.7500 0.3231
O 0.4295 0.5310 0.1850
O 0.4295 0.9690 0.1850
O 0.5705 0.0310 0.8150
O 0.5705 0.4690 0.8150
O 0.9117 0.2500 0.6769
O 0.9604 0.2500 0.0607

Space-group type = No. 11
ΔE_f (raw) = -1.27 eV per atom

20.
The following is a GGA-PBE calculation of a geometry-optimized CsNaRu2O8 structure, from Alexandria.

Unit cell a=5.6277 b=5.6277 c=8.7815 alpha=95.58 beta=95.58 gamma=67.54
Fractional coordinates of all 12 atoms:
Cs 0.0000 0.0000 0.0000
Na 0.0000 0.0000 0.5000
Ru 0.3877 0.3877 0.7096
Ru 0.6123 0.6123 0.2904
O 0.2508 0.2508 0.5571
O 0.2627 0.7238 0.6985
O 0.2762 0.7373 0.3015
O 0.3194 0.3194 0.8872
O 0.6806 0.6806 0.1128
O 0.7238 0.2627 0.6985
O 0.7373 0.2762 0.3015
O 0.7492 0.7492 0.4429

DOS at the Fermi energy = 0.95 states/eV per atom
Space-group type = No. 12
ΔE_f (raw) = -1.08 eV per atom

| no. | magnetic moment (μB per formula unit) |
| --- | --- |
| 1 | 1.41 |
| 2 | 0.00 |
| 3 | 1.05 |
| 4 | 5.00 |
| 5 | 0.00 |
| 6 | 1.00 |
| 7 | 3.00 |
| 8 | 5.00 |
| 9 | 13.00 |
| 10 | 1.05 |
| 11 | 3.00 |
| 12 | 1.08 |
| 13 | 2.00 |
| 14 | 0.00 |
| 15 | 2.92 |
| 16 | 1.03 |
| 17 | 0.00 |
| 18 | 1.05 |
| 19 | 2.00 |
| 20 | 2.04 |